[1]
Material: Li2OsRh
Method: DFT, PBE
State: optimized geometry

## Properties
crystal system = monoclinic
V = 55.16 Å³/cell
ΔE to the lowest computed polymorph = 45.3 meV per atom

```
Li2OsRh
1.0
2.647 0.000 0.000
0.000 4.316 0.000
-0.011 0.000 4.828
Li Os Rh
2 1 1
direct
0.000 0.000 0.000
0.497 0.500 0.852
0.999 0.500 0.357
0.500 0.000 0.497
```


[2]
Material: Li2OsRh
Method: DFT, PBE
State: optimized geometry

## Properties
crystal system = orthorhombic
V = 59.12 Å³/cell
ΔE to the lowest computed polymorph = 239.5 meV per atom

```
Li2OsRh
1.0
1.374 -2.297 0.000
1.374 2.297 0.000
0.000 0.000 9.369
Li Os Rh
2 1 1
direct
0.000 0.000 0.000
0.500 0.500 0.281
0.000 0.000 0.524
0.500 0.500 0.767
```


[3]
Material: Li2OsRh
Method: DFT, PBE
State: optimized geometry

## Properties
crystal system = tetragonal
V = 55.32 Å³/cell
ΔE to the lowest computed polymorph = 214.5 meV per atom

```
Li2OsRh
1.0
2.544 0.000 0.000
0.000 2.544 0.000
0.000 0.000 8.551
Li Os Rh
2 1 1
direct
0.000 0.000 0.244
0.000 0.000 0.756
0.500 0.500 0.500
0.500 0.500 0.000
```


[4]
Material: LiOsRh5
Method: DFT, PBE
State: optimized geometry

## Properties
VASP energy = -98.173 eV for the cell shown
crystal system = monoclinic
V = 201.58 Å³/cell

```
LiOsRh5
1.0
3.305 -3.602 0.000
3.305 3.602 0.000
-2.911 0.000 8.465
Li Os Rh
2 2 10
direct
0.000 0.000 0.000
0.000 0.000 0.500
0.488 0.512 0.750
0.512 0.488 0.250
0.011 0.396 0.838
0.133 0.867 0.750
0.241 0.547 0.466
0.396 0.011 0.338
0.453 0.759 0.034
0.547 0.241 0.966
0.604 0.989 0.662
0.759 0.453 0.534
0.867 0.133 0.250
0.989 0.604 0.162
```


[5]
Material: LiOs2Rh
Method: DFT, PBE
State: optimized geometry

## Properties
crystal system = monoclinic
V = 54.37 Å³/cell
ΔE to the lowest computed polymorph = 10.7 meV per atom

```
LiOs2Rh
1.0
2.672 0.000 0.000
0.000 4.059 0.000
-1.334 0.000 5.014
Li Os Rh
1 2 1
direct
0.000 0.000 0.000
0.127 0.500 0.292
0.732 0.000 0.495
0.399 0.500 0.821
```


[6]
Material: Li2OsRh
Method: DFT, PBE
State: optimized geometry

## Properties
crystal system = orthorhombic
V = 55.42 Å³/cell
ΔE to the lowest computed polymorph = 222.6 meV per atom

```
Li2OsRh
1.0
2.524 -4.304 0.000
2.524 4.304 0.000
0.000 0.000 2.551
Li Os Rh
2 1 1
direct
0.000 0.500 0.000
0.500 0.000 0.000
0.000 0.000 0.500
0.500 0.500 0.500
```


[7]
Material: Li2OsRh
Method: DFT, PBE
State: optimized geometry

## Properties
crystal system = monoclinic
V = 54.78 Å³/cell
ΔE to the lowest computed polymorph = 78.1 meV per atom

```
Li2OsRh
1.0
2.606 -4.526 0.000
2.606 4.526 0.000
-1.242 0.000 2.322
Li Os Rh
2 1 1
direct
0.000 0.500 0.000
0.500 0.000 0.000
0.000 0.000 0.500
0.500 0.500 0.500
```


[8]
Material: Li2OsRh2
Method: DFT, PBE
State: optimized geometry

## Properties
crystal system = tetragonal
V = 129.63 Å³/cell
ΔE to the lowest computed polymorph = 16.0 meV per atom

```
Li2OsRh2
1.0
6.851 0.000 0.000
0.000 6.851 0.000
0.000 0.000 2.762
Li Os Rh
4 2 4
direct
0.162 0.338 0.000
0.338 0.838 0.000
0.662 0.162 0.000
0.838 0.662 0.000
0.000 0.000 0.500
0.500 0.500 0.500
0.139 0.639 0.500
0.361 0.139 0.500
0.639 0.861 0.500
0.861 0.361 0.500
```